1.
# LaCe2Pa, relaxed, DFT PBE-GGA
data_LaCe2Pa
_chemical_formula_sum 'La1 Ce2 Pa1'
_space_group_name_H-M_alt 'P 1'
_space_group_IT_number 1
_cell_length_a 4.710
_cell_length_b 4.801
_cell_length_c 4.801
_cell_angle_alpha 90.00
_cell_angle_beta 90.00
_cell_angle_gamma 90.00
loop_
_space_group_symop_operation_xyz
'x,y,z'
loop_
_atom_site_label
_atom_site_fract_x
_atom_site_fract_y
_atom_site_fract_z
Pa1 0.500 0.500 0.500
La1 0.500 0.000 0.000
Ce1 0.000 0.000 0.500
Ce2 0.000 0.500 0.000
# DOS(E_F) = 7.9 states/eV/f.u.
# excess energy over the best structure of this formula in the dataset = 0.067 eV per atom
# calculated formation energy = 0.1458 eV per atom

---

2.
# La2CePa, relaxed, DFT PBE-GGA
data_La2CePa
_chemical_formula_sum 'La2 Ce1 Pa1'
_space_group_name_H-M_alt 'P 1'
_space_group_IT_number 1
_cell_length_a 3.425
_cell_length_b 3.425
_cell_length_c 10.311
_cell_angle_alpha 90.00
_cell_angle_beta 90.00
_cell_angle_gamma 90.00
loop_
_space_group_symop_operation_xyz
'x,y,z'
loop_
_atom_site_label
_atom_site_fract_x
_atom_site_fract_y
_atom_site_fract_z
La1 0.000 0.000 0.234
La2 0.000 0.000 0.766
Pa1 0.500 0.500 0.000
Ce1 0.500 0.500 0.500
# DOS(E_F) = 9.3 states/eV/f.u.
# excess energy over the best structure of this formula in the dataset = 0.000 eV per atom
# calculated formation energy = 0.1864 eV per atom

---

3.
# LaCe2Pa, relaxed, DFT PBE-GGA
data_LaCe2Pa
_chemical_formula_sum 'La1 Ce2 Pa1'
_space_group_name_H-M_alt 'P 1'
_space_group_IT_number 1
_cell_length_a 3.846
_cell_length_b 3.846
_cell_length_c 10.162
_cell_angle_alpha 79.09
_cell_angle_beta 79.09
_cell_angle_gamma 60.00
loop_
_space_group_symop_operation_xyz
'x,y,z'
loop_
_atom_site_label
_atom_site_fract_x
_atom_site_fract_y
_atom_site_fract_z
La1 0.000 0.000 0.000
Ce1 0.112 0.112 0.663
Ce2 0.888 0.888 0.337
Pa1 0.500 0.500 0.500
# DOS(E_F) = 11.7 states/eV/f.u.
# excess energy over the best structure of this formula in the dataset = 0.564 eV per atom
# calculated formation energy = 0.6430 eV per atom

---

4.
# LaCe2Pa, relaxed, DFT PBE-GGA
data_LaCe2Pa
_chemical_formula_sum 'La1 Ce2 Pa1'
_space_group_name_H-M_alt 'P 1'
_space_group_IT_number 1
_cell_length_a 3.369
_cell_length_b 3.369
_cell_length_c 9.936
_cell_angle_alpha 90.00
_cell_angle_beta 90.00
_cell_angle_gamma 90.00
loop_
_space_group_symop_operation_xyz
'x,y,z'
loop_
_atom_site_label
_atom_site_fract_x
_atom_site_fract_y
_atom_site_fract_z
Ce1 0.000 0.000 0.770
Ce2 0.000 0.000 0.230
Pa1 0.500 0.500 0.000
La1 0.500 0.500 0.500
# DOS(E_F) = 9.4 states/eV/f.u.
# excess energy over the best structure of this formula in the dataset = 0.000 eV per atom
# calculated formation energy = 0.0791 eV per atom

---

5.
# LaCePa4, relaxed, DFT PBE-GGA
data_LaCePa4
_chemical_formula_sum 'La1 Ce1 Pa4'
_space_group_name_H-M_alt 'P 1'
_space_group_IT_number 1
_cell_length_a 6.127
_cell_length_b 6.127
_cell_length_c 6.127
_cell_angle_alpha 60.00
_cell_angle_beta 60.00
_cell_angle_gamma 60.00
loop_
_space_group_symop_operation_xyz
'x,y,z'
loop_
_atom_site_label
_atom_site_fract_x
_atom_site_fract_y
_atom_site_fract_z
Ce1 0.000 0.000 0.000
Pa1 0.625 0.625 0.625
Pa2 0.125 0.625 0.625
Pa3 0.625 0.625 0.125
Pa4 0.625 0.125 0.625
La1 0.250 0.250 0.250
# DOS(E_F) = 16.3 states/eV/f.u.
# calculated formation energy = 0.1969 eV per atom

---

6.
# LaCe2Pa, relaxed, DFT PBE-GGA
data_LaCe2Pa
_chemical_formula_sum 'La1 Ce2 Pa1'
_space_group_name_H-M_alt 'P 1'
_space_group_IT_number 1
_cell_length_a 5.400
_cell_length_b 5.400
_cell_length_c 5.400
_cell_angle_alpha 60.00
_cell_angle_beta 60.00
_cell_angle_gamma 60.00
loop_
_space_group_symop_operation_xyz
'x,y,z'
loop_
_atom_site_label
_atom_site_fract_x
_atom_site_fract_y
_atom_site_fract_z
Pa1 0.000 0.000 0.000
Ce1 0.750 0.750 0.750
Ce2 0.250 0.250 0.250
La1 0.500 0.500 0.500
# DOS(E_F) = 12.7 states/eV/f.u.
# excess energy over the best structure of this formula in the dataset = 0.265 eV per atom
# calculated formation energy = 0.3444 eV per atom

---

7.
# LaCePaPb, relaxed, DFT PBE-GGA
data_LaCePaPb
_chemical_formula_sum 'La1 Ce1 Pa1 Pb1'
_space_group_name_H-M_alt 'P 1'
_space_group_IT_number 1
_cell_length_a 5.501
_cell_length_b 5.501
_cell_length_c 5.501
_cell_angle_alpha 60.00
_cell_angle_beta 60.00
_cell_angle_gamma 60.00
loop_
_space_group_symop_operation_xyz
'x,y,z'
loop_
_atom_site_label
_atom_site_fract_x
_atom_site_fract_y
_atom_site_fract_z
Pb1 0.000 0.000 0.000
La1 0.250 0.250 0.250
Pa1 0.500 0.500 0.500
Ce1 0.750 0.750 0.750
# DOS(E_F) = 11.3 states/eV/f.u.
# calculated formation energy = 0.1157 eV per atom

---

8.
# LaCePmPa, relaxed, DFT PBE-GGA
data_LaCePmPa
_chemical_formula_sum 'La1 Ce1 Pm1 Pa1'
_space_group_name_H-M_alt 'P 1'
_space_group_IT_number 1
_cell_length_a 5.572
_cell_length_b 5.572
_cell_length_c 5.572
_cell_angle_alpha 60.00
_cell_angle_beta 60.00
_cell_angle_gamma 60.00
loop_
_space_group_symop_operation_xyz
'x,y,z'
loop_
_atom_site_label
_atom_site_fract_x
_atom_site_fract_y
_atom_site_fract_z
Pm1 0.000 0.000 0.000
Ce1 0.500 0.500 0.500
Pa1 0.750 0.750 0.750
La1 0.250 0.250 0.250
# DOS(E_F) = 15.1 states/eV/f.u.
# calculated formation energy = 0.4027 eV per atom